[1]
## TlFeRu2 (SCAN)

Data for a crystal of TlFeRu2 relaxed with PBEsol.

Computed properties:
* D(E_F): 3.5 states/eV/f.u.
* energy relative to the elements: 35.57 kJ/mol of atoms
* polymorph energy (0 for the lowest one): 0.0 meV/atom
* VASP energy: -39.6665 eV per atom
* space-group type: P4/mmm, No. 123

Cell lengths 2.9663, 2.9663, 6.7188 Å; angles 90.00, 90.00, 90.00 degrees
With the nearest neighbours (Å) after each atom.
Fractional positions:
Tl 0.5000 0.5000 0.0000  8 Ru 2.89, 4 Tl 2.97
Fe 0.5000 0.5000 0.5000  8 Ru 2.51
Ru 0.0000 0.0000 0.7049  4 Fe 2.51, 1 Ru 2.75
Ru 0.0000 0.0000 0.2951  4 Fe 2.51, 1 Ru 2.75

---

[2]
## Li3CrO4 (SCAN)

Data for a crystal of Li3CrO4 relaxed with PBEsol.

Computed properties:
* D(E_F): 1.5 states/eV/f.u.
* raw formation energy: -2.2539 eV/atom
* polymorph energy (0 for the lowest one): 0.0 meV/atom
* VASP energy: -8.5638 eV per atom
* space-group type: Pmn2_1, No. 31

Cell lengths 4.9086, 5.3941, 6.2570 Å; angles 90.00, 90.00, 90.00 degrees
With the nearest neighbours (Å) after each atom.
Fractional positions:
O 0.1548 0.8259 0.0000  1 Cr 1.70
O 0.6097 0.6803 0.7755  1 Cr 1.70
O 0.1097 0.3197 0.2755  1 Cr 1.70
O 0.6097 0.6803 0.2245  1 Cr 1.70
O 0.1097 0.3197 0.7245  1 Cr 1.70
O 0.6548 0.1741 0.5000  1 Cr 1.70
O 0.6082 0.1296 0.0000  1 Cr 1.70
O 0.1082 0.8704 0.5000  1 Cr 1.70
Li 0.5100 0.3310 0.7528  4 O 1.93-1.97
Li 0.0100 0.6690 0.2528  4 O 1.93-1.97
Li 0.0100 0.6690 0.7472  4 O 1.93-1.97
Li 0.0108 0.1641 0.0000  4 O 1.96-1.98
Li 0.5108 0.8359 0.5000  4 O 1.96-1.98
Li 0.5100 0.3310 0.2472  4 O 1.93-1.97
Cr 0.5012 0.8295 0.0000  4 O 1.70
Cr 0.0012 0.1705 0.5000  4 O 1.70

---

[3]
## LiNi4O8 (SCAN)

Data for a crystal of LiNi4O8 relaxed with PBEsol.

Computed properties:
* D(E_F): 4.2 states/eV/f.u.
* raw formation energy: -1.1884 eV/atom
* VASP energy: -10.1832 eV per atom
* space-group type: C2/m, No. 12

Cell lengths 5.1025, 5.6008, 5.5920 Å; angles 120.05, 106.71, 90.00 degrees
With the nearest neighbours (Å) after each atom.
Fractional positions:
O 0.2040 0.1143 0.2287  3 Ni 1.87-1.90
O 0.7960 0.8857 0.7713  3 Ni 1.87-1.90
O 0.1990 0.6284 0.7399  3 Ni 1.86-1.89
O 0.1990 0.1115 0.7399  3 Ni 1.86-1.89
O 0.8010 0.8885 0.2601  3 Ni 1.86-1.89
O 0.1908 0.6178 0.2356  3 Ni 1.86-1.88
O 0.8092 0.3822 0.7644  3 Ni 1.86-1.88
O 0.8010 0.3716 0.2601  3 Ni 1.86-1.89
Li 0.5000 0.0000 0.0000  6 O 2.12-2.15
Ni 0.0115 0.2520 0.5040  6 O 1.88-1.90
Ni 0.0000 0.7500 0.0000  6 O 1.86-1.87
Ni 0.0000 0.2500 0.0000  6 O 1.86-1.87
Ni 0.9885 0.7480 0.4960  6 O 1.88-1.90

---

[4]
## K2SbAu (SCAN)

Data for a crystal of K2SbAu relaxed with PBEsol.

Computed properties:
* raw formation energy: -0.5610 eV/atom
* VASP energy: -31.3297 eV per atom
* space-group type: Imm2, No. 44

Cell lengths 4.8430, 5.8779, 6.0144 Å; angles 119.25, 113.74, 90.00 degrees
With the nearest neighbours (Å) after each atom.
Fractional positions:
Sb 0.5696 0.5696 0.1392  2 Au 2.61
K 0.7836 0.2836 0.5671  4 K 3.43-3.77, 4 Sb 3.55-3.60, 1 Au 3.63
K 0.9736 0.9736 0.9472  4 K 3.43-3.77, 4 Au 3.48-3.70, 1 Sb 3.76
Au 0.1732 0.6732 0.3464  2 Sb 2.61

---

[5]
## SrZn2Ir (SCAN)

Data for a crystal of SrZn2Ir relaxed with PBEsol.

Computed properties:
* D(E_F): 2.3 states/eV/f.u.
* energy relative to the elements: -35.46 kJ/mol of atoms
* VASP energy: -30.4687 eV per atom
* space-group type: R-3m, No. 166

Cell lengths 4.2997, 4.2997, 5.8062 Å; angles 68.27, 68.27, 60.00 degrees
With the nearest neighbours (Å) after each atom.
Fractional positions:
Zn 0.1981 0.1981 0.4056  3 Ir 2.53, 3 Zn 2.67
Zn 0.8019 0.8019 0.5944  3 Ir 2.53, 3 Zn 2.67
Ir 0.5000 0.5000 0.5000  6 Zn 2.53
Sr 0.0000 0.0000 0.0000  8 Zn 3.12-3.27

---

[6]
## TaTc2Mo (SCAN)

Data for a crystal of TaTc2Mo relaxed with PBEsol.

Computed properties:
* D(E_F): 2.4 states/eV/f.u.
* energy relative to the elements: -25.03 kJ/mol of atoms
* polymorph energy (0 for the lowest one): 0.0 meV/atom
* VASP energy: -43.1565 eV per atom
* space-group type: P4/mmm, No. 123

Cell lengths 3.1142, 3.1142, 6.2554 Å; angles 90.00, 90.00, 90.00 degrees
With the nearest neighbours (Å) after each atom.
Fractional positions:
Ta 0.5000 0.5000 0.5000  8 Tc 2.71
Tc 0.0000 0.0000 0.7513  4 Mo 2.70, 4 Ta 2.71
Tc 0.0000 0.0000 0.2487  4 Mo 2.70, 4 Ta 2.71
Mo 0.5000 0.5000 0.0000  8 Tc 2.70

---

[7]
## HfSc2ReI (SCAN)

Data for a crystal of HfSc2ReI relaxed with PBEsol.

Computed properties:
* D(E_F): 4.4 states/eV/f.u.
* raw formation energy: 1.1506 eV/atom
* VASP energy: -38.6467 eV per atom
* space-group type: P4/mmm, No. 123

Cell lengths 4.6813, 5.3282, 5.3282 Å; angles 90.00, 90.00, 90.00 degrees
With the nearest neighbours (Å) after each atom.
Fractional positions:
Sc 0.0000 0.5000 0.0000  2 Hf 2.66
Sc 0.0000 0.0000 0.5000  2 Hf 2.66
Re 0.5000 0.0000 0.0000  2 Hf 2.34
Hf 0.0000 0.0000 0.0000  2 Re 2.34
I 0.5000 0.5000 0.5000  8 Sc 3.55, 4 Re 3.77

---

[8]
## La2BrCl (SCAN)

Data for a crystal of La2BrCl relaxed with PBEsol.

Computed properties:
* D(E_F): 1.9 states/eV/f.u.
* raw formation energy: -1.6177 eV/atom
* polymorph energy (0 for the lowest one): 1.9 meV/atom
* VASP energy: -30.0295 eV per atom
* space-group type: C2/m, No. 12

Cell lengths 3.6827, 4.8248, 6.3866 Å; angles 102.80, 90.00, 112.44 degrees
With the nearest neighbours (Å) after each atom.
Fractional positions:
La 0.7534 0.5068 0.7576  3 Cl 3.00-3.03, 3 Br 3.05-3.07
La 0.2466 0.4932 0.2424  3 Cl 3.00-3.03, 3 Br 3.05-3.07
Cl 0.5000 0.0000 0.0000  6 La 3.00-3.03
Br 0.0000 0.0000 0.5000  6 La 3.05-3.07

---

[9]
## BAsF2 (SCAN)

Data for a crystal of BAsF2 relaxed with PBEsol.

Computed properties:
* D(E_F): 2.9 states/eV/f.u.
* raw formation energy: 0.4678 eV/atom
* VASP energy: -8.2073 eV per atom
* space-group type: Fm-3m, No. 225

Cell lengths 4.0298, 4.0298, 4.0298 Å; angles 60.00, 60.00, 60.00 degrees
With the nearest neighbours (Å) after each atom.
Fractional positions:
As 0.5000 0.5000 0.5000  8 F 2.47
B 0.0000 0.0000 0.0000  8 F 2.47
F 0.2500 0.2500 0.2500  4 As 2.47, 4 B 2.47
F 0.7500 0.7500 0.7500  4 As 2.47, 4 B 2.47

---

[10]
## Ca3SiHg (SCAN)

Data for a crystal of Ca3SiHg relaxed with PBEsol.

Computed properties:
* D(E_F): 3.0 states/eV/f.u.
* raw formation energy: -0.2132 eV/atom
* polymorph energy (0 for the lowest one): 0.0 meV/atom
* VASP energy: -21.6476 eV per atom
* space-group type: Pm-3m, No. 221

Cell lengths 5.5801, 5.5801, 5.5801 Å; angles 90.00, 90.00, 90.00 degrees
With the nearest neighbours (Å) after each atom.
Fractional positions:
Ca 0.0000 0.0000 0.5000  2 Si 2.79
Ca 0.5000 0.0000 0.0000  2 Si 2.79
Ca 0.0000 0.5000 0.0000  2 Si 2.79
Hg 0.5000 0.5000 0.5000  12 Ca 3.95
Si 0.0000 0.0000 0.0000  6 Ca 2.79

---

[11]
## Te2IrRh (SCAN)

Data for a crystal of Te2IrRh relaxed with PBEsol.

Computed properties:
* D(E_F): 3.1 states/eV/f.u.
* raw formation energy: 0.0101 eV/atom
* polymorph energy (0 for the lowest one): 29.4 meV/atom
* VASP energy: -44.8331 eV per atom
* space-group type: R-3m, No. 166

Cell lengths 3.8293, 3.8293, 6.5841 Å; angles 73.09, 73.09, 60.00 degrees
With the nearest neighbours (Å) after each atom.
Fractional positions:
Te 0.2494 0.2494 0.2518  3 Ir 2.69, 3 Rh 2.71
Te 0.7506 0.7506 0.7482  3 Ir 2.69, 3 Rh 2.71
Ir 0.5000 0.5000 0.5000  6 Te 2.69
Rh 0.0000 0.0000 0.0000  6 Te 2.71

---

[12]
## DySbRh2 (SCAN)

Data for a crystal of DySbRh2 relaxed with PBEsol.

Computed properties:
* D(E_F): 4.4 states/eV/f.u.
* raw formation energy: -0.8074 eV/atom
* VASP energy: -38.9575 eV per atom
* space-group type: Fm-3m, No. 225

Cell lengths 4.6354, 4.6354, 4.6354 Å; angles 60.00, 60.00, 60.00 degrees
With the nearest neighbours (Å) after each atom.
Fractional positions:
Rh 0.7500 0.7500 0.7500  4 Dy 2.84, 4 Sb 2.84
Rh 0.2500 0.2500 0.2500  4 Dy 2.84, 4 Sb 2.84
Sb 0.0000 0.0000 0.0000  8 Rh 2.84
Dy 0.5000 0.5000 0.5000  8 Rh 2.84